(1)
# PrNi4Pb

Crystalline PrNi4Pb at its relaxed geometry (GGA-PBE, Alexandria via LeMat-Bulk).

* calculated total energy: -32.61 eV per cell
* volume: 95.81 Å³/f.u.
* formation energy from the elements: -0.1665 eV per atom
* N(E_F): 6.48 states/eV/f.u.
* space group: F-43m

a b c (Å): 5.136 5.136 5.136
angles (deg): 60.00 60.00 60.00
Sites, in units of the cell vectors:
Pr  0.000  0.000  0.000
Ni  0.376  0.376  0.376
Ni  0.376  0.376  0.873
Ni  0.376  0.873  0.376
Ni  0.873  0.376  0.376
Pb  0.750  0.750  0.750

(2)
# Pr3Ni2Pb4

Crystalline Pr3Ni2Pb4 at its relaxed geometry (GGA-PBE, Alexandria via LeMat-Bulk).

* calculated total energy: -44.48 eV per cell
* volume: 237.66 Å³/f.u.
* formation energy from the elements: -0.4162 eV per atom
* N(E_F): 5.68 states/eV/f.u.
* space group: C2/m

a b c (Å): 6.332 6.332 9.005
angles (deg): 102.29 102.29 42.54
Sites, in units of the cell vectors:
Pr  0.000  0.000  0.000
Pr  0.371  0.371  0.313
Pr  0.629  0.629  0.687
Ni  0.291  0.291  0.589
Ni  0.709  0.709  0.411
Pb  0.088  0.088  0.381
Pb  0.297  0.297  0.904
Pb  0.703  0.703  0.096
Pb  0.912  0.912  0.619

(3)
# Pr3NiPb

Crystalline Pr3NiPb at its relaxed geometry (GGA-PBE, Alexandria via LeMat-Bulk).

* energy relative to the lowest polymorph listed for this composition: 3 meV per atom
* calculated total energy: -25.05 eV per cell
* volume: 158.08 Å³/f.u.
* formation energy from the elements: -0.2448 eV per atom
* N(E_F): 6.20 states/eV/f.u.
* space group: Pm-3m

a b c (Å): 5.407 5.407 5.407
angles (deg): 90.00 90.00 90.00
Sites, in units of the cell vectors:
Pr  0.000  0.000  0.500
Pr  0.000  0.500  0.000
Pr  0.500  0.000  0.000
Ni  0.000  0.000  0.000
Pb  0.500  0.500  0.500

(4)
# PrNiPb

Crystalline PrNiPb at its relaxed geometry (GGA-PBE, Alexandria via LeMat-Bulk).

* calculated total energy: -29.49 eV per cell
* volume: 70.56 Å³/f.u.
* formation energy from the elements: -0.1583 eV per atom
* N(E_F): 2.54 states/eV/f.u.
* space group: I4mm

a b c (Å): 3.466 3.466 11.748
angles (deg): 90.00 90.00 90.00
Sites, in units of the cell vectors:
Pr  0.000  0.000  0.000
Pr  0.500  0.500  0.500
Ni  0.000  0.000  0.653
Ni  0.500  0.500  0.153
Pb  0.000  0.000  0.282
Pb  0.500  0.500  0.782

(5)
# Pr4NiPb

Crystalline Pr4NiPb at its relaxed geometry (GGA-PBE, Alexandria via LeMat-Bulk).

* energy relative to the lowest polymorph listed for this composition: 0 meV per atom
* calculated total energy: -60.66 eV per cell
* volume: 184.95 Å³/f.u.
* formation energy from the elements: -0.2869 eV per atom
* N(E_F): 6.73 states/eV/f.u.
* space group: P2_1/m

a b c (Å): 6.118 7.106 8.601
angles (deg): 90.00 98.46 90.00
Sites, in units of the cell vectors:
Pr  0.105  0.250  0.056
Pr  0.173  0.750  0.371
Pr  0.380  0.505  0.782
Pr  0.380  0.995  0.782
Pr  0.620  0.005  0.218
Pr  0.620  0.495  0.218
Pr  0.827  0.250  0.629
Pr  0.895  0.750  0.944
Ni  0.341  0.750  0.051
Ni  0.659  0.250  0.949
Pb  0.260  0.250  0.436
Pb  0.740  0.750  0.564

(6)
# Pr3NiPb

Crystalline Pr3NiPb at its relaxed geometry (GGA-PBE, Alexandria via LeMat-Bulk).

* energy relative to the lowest polymorph listed for this composition: 0 meV per atom
* calculated total energy: -50.13 eV per cell
* volume: 156.14 Å³/f.u.
* formation energy from the elements: -0.2478 eV per atom
* N(E_F): 4.89 states/eV/f.u.
* space group: Cm

a b c (Å): 8.635 8.635 4.420
angles (deg): 90.00 90.00 71.37
Sites, in units of the cell vectors:
Pr  0.000  0.000  0.000
Pr  0.004  0.598  0.499
Pr  0.358  0.358  0.000
Pr  0.358  0.759  0.499
Pr  0.598  0.004  0.499
Pr  0.759  0.358  0.499
Ni  0.180  0.679  0.000
Ni  0.679  0.180  0.000
Pb  0.178  0.178  0.501
Pb  0.682  0.682  0.998

(7)
# Pr6Ni2Pb

Crystalline Pr6Ni2Pb at its relaxed geometry (GGA-PBE, Alexandria via LeMat-Bulk).

* calculated total energy: -92.52 eV per cell
* volume: 264.30 Å³/f.u.
* formation energy from the elements: -0.2570 eV per atom
* N(E_F): 9.51 states/eV/f.u.
* space group: Immm

a b c (Å): 8.842 8.842 8.842
angles (deg): 114.80 107.61 106.15
Sites, in units of the cell vectors:
Pr  0.019  0.226  0.793
Pr  0.184  0.295  0.479
Pr  0.184  0.705  0.889
Pr  0.322  0.013  0.692
Pr  0.322  0.630  0.308
Pr  0.432  0.226  0.207
Pr  0.568  0.774  0.793
Pr  0.678  0.370  0.692
Pr  0.678  0.987  0.308
Pr  0.816  0.295  0.111
Pr  0.816  0.705  0.521
Pr  0.981  0.774  0.207
Ni  0.117  0.617  0.500
Ni  0.368  0.000  0.368
Ni  0.632  0.000  0.632
Ni  0.883  0.383  0.500
Pb  0.000  0.000  0.000
Pb  0.500  0.500  0.000

(8)
# PrNiPb

Crystalline PrNiPb at its relaxed geometry (GGA-PBE, Alexandria via LeMat-Bulk).

* calculated total energy: -15.30 eV per cell
* volume: 72.30 Å³/f.u.
* formation energy from the elements: -0.3432 eV per atom
* N(E_F): 1.47 states/eV/f.u.
* space group: P-6m2

a b c (Å): 4.656 4.656 3.851
angles (deg): 90.00 90.00 120.00
Sites, in units of the cell vectors:
Pr  0.000  0.000  0.000
Ni  0.333  0.667  0.500
Pb  0.667  0.333  0.500

(9)
# Pr8Ni2Pb

Crystalline Pr8Ni2Pb at its relaxed geometry (GGA-PBE, Alexandria via LeMat-Bulk).

* calculated total energy: -55.01 eV per cell
* volume: 336.27 Å³/f.u.
* formation energy from the elements: -0.1365 eV per atom
* N(E_F): 13.55 states/eV/f.u.
* space group: C2/m

a b c (Å): 8.281 8.281 5.596
angles (deg): 97.47 97.47 115.38
Sites, in units of the cell vectors:
Pr  0.101  0.101  0.802
Pr  0.171  0.422  0.435
Pr  0.250  0.750  0.000
Pr  0.422  0.171  0.435
Pr  0.578  0.829  0.565
Pr  0.750  0.250  0.000
Pr  0.829  0.578  0.565
Pr  0.899  0.899  0.198
Ni  0.201  0.799  0.500
Ni  0.799  0.201  0.500
Pb  0.500  0.500  0.000

(10)
# Pr7Ni2Pb2

Crystalline Pr7Ni2Pb2 at its relaxed geometry (GGA-PBE, Alexandria via LeMat-Bulk).

* calculated total energy: -54.63 eV per cell
* volume: 348.85 Å³/f.u.
* formation energy from the elements: -0.1992 eV per atom
* N(E_F): 12.17 states/eV/f.u.
* space group: Cmmm

a b c (Å): 7.170 7.170 7.195
angles (deg): 90.00 90.00 109.43
Sites, in units of the cell vectors:
Pr  0.000  0.000  0.000
Pr  0.000  0.500  0.247
Pr  0.000  0.500  0.753
Pr  0.500  0.000  0.247
Pr  0.500  0.000  0.753
Pr  0.500  0.500  0.225
Pr  0.500  0.500  0.775
Ni  0.284  0.716  0.000
Ni  0.716  0.284  0.000
Pb  0.182  0.182  0.500
Pb  0.818  0.818  0.500

(11)
# Pr8NiPb2

Crystalline Pr8NiPb2 at its relaxed geometry (GGA-PBE, Alexandria via LeMat-Bulk).

* calculated total energy: -54.13 eV per cell
* volume: 351.68 Å³/f.u.
* formation energy from the elements: -0.2453 eV per atom
* N(E_F): 10.22 states/eV/f.u.
* space group: C2/m

a b c (Å): 10.231 10.231 7.156
angles (deg): 102.92 102.92 28.86
Sites, in units of the cell vectors:
Pr  0.011  0.011  0.282
Pr  0.215  0.215  0.827
Pr  0.358  0.358  0.491
Pr  0.409  0.409  0.019
Pr  0.591  0.591  0.981
Pr  0.642  0.642  0.509
Pr  0.785  0.785  0.173
Pr  0.989  0.989  0.718
Ni  0.500  0.500  0.500
Pb  0.182  0.182  0.266
Pb  0.818  0.818  0.734

(12)
# Pr4NiPb

Crystalline Pr4NiPb at its relaxed geometry (GGA-PBE, Alexandria via LeMat-Bulk).

* energy relative to the lowest polymorph listed for this composition: 32 meV per atom
* calculated total energy: -60.27 eV per cell
* volume: 182.79 Å³/f.u.
* formation energy from the elements: -0.2549 eV per atom
* N(E_F): 5.71 states/eV/f.u.
* space group: C2/c

a b c (Å): 8.546 8.546 6.167
angles (deg): 102.88 102.88 116.40
Sites, in units of the cell vectors:
Pr  0.072  0.697  0.923
Pr  0.195  0.338  0.653
Pr  0.303  0.928  0.577
Pr  0.338  0.195  0.153
Pr  0.662  0.805  0.847
Pr  0.697  0.072  0.423
Pr  0.805  0.662  0.347
Pr  0.928  0.303  0.077
Ni  0.001  0.999  0.250
Ni  0.999  0.001  0.750
Pb  0.382  0.618  0.250
Pb  0.618  0.382  0.750

(13)
# PrNiPb

Crystalline PrNiPb at its relaxed geometry (GGA-PBE, Alexandria via LeMat-Bulk).

* calculated total energy: -30.80 eV per cell
* volume: 74.23 Å³/f.u.
* formation energy from the elements: -0.3772 eV per atom
* N(E_F): 2.97 states/eV/f.u.
* space group: P2_1/m

a b c (Å): 4.646 4.618 6.920
angles (deg): 90.00 90.84 90.00
Sites, in units of the cell vectors:
Pr  0.247  0.250  0.216
Pr  0.753  0.750  0.784
Ni  0.278  0.750  0.500
Ni  0.722  0.250  0.500
Pb  0.241  0.250  0.716
Pb  0.759  0.750  0.284

(14)
# Pr4Ni2Pb

Crystalline Pr4Ni2Pb at its relaxed geometry (GGA-PBE, Alexandria via LeMat-Bulk).

* calculated total energy: -71.23 eV per cell
* volume: 212.80 Å³/f.u.
* formation energy from the elements: -0.1754 eV per atom
* N(E_F): 7.50 states/eV/f.u.
* space group: Fddd

a b c (Å): 9.652 8.449 7.987
angles (deg): 71.86 56.29 51.85
Sites, in units of the cell vectors:
Pr  0.142  0.270  0.306
Pr  0.219  0.694  0.730
Pr  0.270  0.142  0.781
Pr  0.306  0.781  0.142
Pr  0.694  0.219  0.858
Pr  0.730  0.858  0.219
Pr  0.781  0.306  0.270
Pr  0.858  0.730  0.694
Ni  0.000  0.000  0.000
Ni  0.000  0.000  0.500
Ni  0.000  0.500  0.000
Ni  0.500  0.000  0.000
Pb  0.375  0.375  0.375
Pb  0.625  0.625  0.625

(15)
# PrNiRhPb

Crystalline PrNiRhPb at its relaxed geometry (GGA-PBE, Alexandria via LeMat-Bulk).

* calculated total energy: -90.72 eV per cell
* volume: 80.46 Å³/f.u.
* formation energy from the elements: -0.2651 eV per atom
* N(E_F): 3.40 states/eV/f.u.
* space group: F-43m

a b c (Å): 6.853 6.853 6.853
angles (deg): 90.00 90.00 90.00
Sites, in units of the cell vectors:
Pr  0.000  0.000  0.000
Pr  0.000  0.500  0.500
Pr  0.500  0.000  0.500
Pr  0.500  0.500  0.000
Ni  0.250  0.250  0.750
Ni  0.250  0.750  0.250
Ni  0.750  0.250  0.250
Ni  0.750  0.750  0.750
Rh  0.250  0.250  0.250
Rh  0.250  0.750  0.750
Rh  0.750  0.250  0.750
Rh  0.750  0.750  0.250
Pb  0.000  0.000  0.500
Pb  0.000  0.500  0.000
Pb  0.500  0.000  0.000
Pb  0.500  0.500  0.500

(16)
# Pr2Ni4Sb3Pb

Crystalline Pr2Ni4Sb3Pb at its relaxed geometry (GGA-PBE, Alexandria via LeMat-Bulk).

* calculated total energy: -54.35 eV per cell
* volume: 206.34 Å³/f.u.
* N(E_F): 6.65 states/eV/f.u.
* space group: P-4m2
* raw formation energy: -0.559 eV/atom

a b c (Å): 4.486 4.486 10.254
angles (deg): 90.00 90.00 90.00
Sites, in units of the cell vectors:
Pr  0.000  0.500  0.233
Pr  0.500  0.000  0.767
Ni  0.000  0.000  0.000
Ni  0.000  0.500  0.633
Ni  0.500  0.000  0.367
Ni  0.500  0.500  0.000
Sb  0.000  0.500  0.876
Sb  0.500  0.000  0.124
Sb  0.500  0.500  0.500
Pb  0.000  0.000  0.500

(17)
# PrZnNiPb

Crystalline PrZnNiPb at its relaxed geometry (GGA-PBE, Alexandria via LeMat-Bulk).

* calculated total energy: -65.42 eV per cell
* volume: 84.68 Å³/f.u.
* formation energy from the elements: -0.2027 eV per atom
* N(E_F): 2.05 states/eV/f.u.
* space group: F-43m

a b c (Å): 6.971 6.971 6.971
angles (deg): 90.00 90.00 90.00
Sites, in units of the cell vectors:
Pr  0.000  0.000  0.000
Pr  0.000  0.500  0.500
Pr  0.500  0.000  0.500
Pr  0.500  0.500  0.000
Zn  0.250  0.250  0.750
Zn  0.250  0.750  0.250
Zn  0.750  0.250  0.250
Zn  0.750  0.750  0.750
Ni  0.250  0.250  0.250
Ni  0.250  0.750  0.750
Ni  0.750  0.250  0.750
Ni  0.750  0.750  0.250
Pb  0.000  0.000  0.500
Pb  0.000  0.500  0.000
Pb  0.500  0.000  0.000
Pb  0.500  0.500  0.500

(18)
# NiPt2Pb2

Crystalline NiPt2Pb2 at its relaxed geometry (GGA-PBE, Alexandria via LeMat-Bulk).

* calculated total energy: -49.57 eV per cell
* volume: 101.56 Å³/f.u.
* formation energy from the elements: 0.0989 eV per atom
* N(E_F): 5.22 states/eV/f.u.
* space group: P4/mbm

a b c (Å): 6.840 6.840 4.341
angles (deg): 90.00 90.00 90.00
Sites, in units of the cell vectors:
Ni  0.000  0.000  0.000
Ni  0.500  0.500  0.000
Pt  0.144  0.356  0.000
Pt  0.356  0.856  0.000
Pt  0.644  0.144  0.000
Pt  0.856  0.644  0.000
Pb  0.172  0.672  0.500
Pb  0.328  0.172  0.500
Pb  0.672  0.828  0.500
Pb  0.828  0.328  0.500

(19)
# NiPtPb2

Crystalline NiPtPb2 at its relaxed geometry (GGA-PBE, Alexandria via LeMat-Bulk).

* calculated total energy: -36.63 eV per cell
* volume: 82.15 Å³/f.u.
* formation energy from the elements: 0.2311 eV per atom
* N(E_F): 3.61 states/eV/f.u.
* space group: I-4m2

a b c (Å): 4.095 4.095 9.798
angles (deg): 90.00 90.00 90.00
Sites, in units of the cell vectors:
Ni  0.000  0.000  0.000
Ni  0.500  0.500  0.500
Pt  0.000  0.500  0.250
Pt  0.500  0.000  0.750
Pb  0.000  0.000  0.500
Pb  0.000  0.500  0.750
Pb  0.500  0.000  0.250
Pb  0.500  0.500  0.000

(20)
# NiPt3Pb

Crystalline NiPt3Pb at its relaxed geometry (GGA-PBE, Alexandria via LeMat-Bulk).

* energy relative to the lowest polymorph listed for this composition: 0 meV per atom
* calculated total energy: -24.53 eV per cell
* volume: 101.27 Å³/f.u.
* formation energy from the elements: 0.6171 eV per atom
* N(E_F): 10.56 states/eV/f.u.
* space group: Pm-3m

a b c (Å): 4.661 4.661 4.661
angles (deg): 90.00 90.00 90.00
Sites, in units of the cell vectors:
Ni  0.000  0.000  0.000
Pt  0.000  0.000  0.500
Pt  0.000  0.500  0.000
Pt  0.500  0.000  0.000
Pb  0.500  0.500  0.500